Record 1
A relaxed La2ErTl3Se6 crystal. Source: Alexandria via LeMat-Bulk, functional GGA-PBE.

Geometry as CIF:
```
data_La2ErTl3Se6
_chemical_formula_sum 'La4 Er2 Tl6 Se12'
_symmetry_space_group_name_H-M 'C 1 2/m 1'
_symmetry_Int_Tables_number 12
_symmetry_space_group_name_Hall '-C 2y'
_cell_length_a 7.513
_cell_length_b 13.001
_cell_length_c 8.116
_cell_angle_alpha 90.00
_cell_angle_beta 107.96
_cell_angle_gamma 90.00
loop_
_atom_site_label
_atom_site_type_symbol
_atom_site_fract_x
_atom_site_fract_y
_atom_site_fract_z
_atom_site_occupancy
La1 La 0.000 0.167 0.000 1
Er1 Er 0.000 0.500 0.000 1
Tl1 Tl 0.000 0.000 0.500 1
Tl2 Tl 0.000 0.332 0.500 1
Se1 Se 0.229 0.340 0.207 1
Se2 Se 0.249 0.500 0.790 1
```

Properties
DOS(E_F) in states/eV/cell: 0.00
Total magnetization in μB/cell: 0.0
Raw formation energy in meV/atom: -1428

Record 2
A relaxed La3Er2TmSe6 crystal. Source: Alexandria via LeMat-Bulk, functional GGA-PBE.

Geometry as CIF:
```
data_La3Er2TmSe6
_chemical_formula_sum 'La6 Er4 Tm2 Se12'
_symmetry_space_group_name_H-M 'C 1 2/m 1'
_symmetry_Int_Tables_number 12
_symmetry_space_group_name_Hall '-C 2y'
_cell_length_a 7.108
_cell_length_b 12.347
_cell_length_c 7.404
_cell_angle_alpha 90.00
_cell_angle_beta 108.75
_cell_angle_gamma 90.00
loop_
_atom_site_label
_atom_site_type_symbol
_atom_site_fract_x
_atom_site_fract_y
_atom_site_fract_z
_atom_site_occupancy
La1 La 0.000 0.000 0.000 1
La2 La 0.000 0.333 0.000 1
Er1 Er 0.000 0.167 0.500 1
Tm1 Tm 0.000 0.500 0.500 1
Se1 Se 0.241 0.334 0.726 1
Se2 Se 0.244 0.000 0.727 1
```

Properties
DOS(E_F) in states/eV/cell: 11.96
Total magnetization in μB/cell: 0.0
Raw formation energy in meV/atom: -1855